[1]
K2HoTlO4 after structural relaxation, computed with PBE.

Cell: 6.0076 3.4753 6.6010 Å, 90.00 108.28 90.00°
Last column: nearest neighbours and their distance in Å.
Space group P2/m (No. 10)
Symmetry-distinct sites (fractional):
K 0.0000 0.0000 0.0000  6 O 2.74-2.76
K 0.5000 0.5000 0.0000  6 O 2.80-2.81
Ho 0.0000 0.5000 0.5000  6 O 2.30-2.33
Tl 0.5000 0.0000 0.5000  6 O 2.35-2.42
O 0.2178 0.0000 0.6926  2 Ho 2.30, 1 Tl 2.42
O 0.2640 0.5000 0.3061  1 Ho 2.33, 2 Tl 2.35

For the energy relative to the elements, uncorrected, the calculation gives -1892 meV/atom. Its total magnetization is 0.00 μB per formula unit.

[2]
K3HoTl2O6 after structural relaxation, computed with PBE.

Cell: 6.0216 10.4335 6.5722 Å, 90.00 107.72 90.00°
Last column: nearest neighbours and their distance in Å.
Space group C2/m (No. 12)
Symmetry-distinct sites (fractional):
K 0.0000 0.0000 0.0000  6 O 2.76-2.79
K 0.0000 0.3294 0.0000  6 O 2.75-2.78
Ho 0.0000 0.5000 0.5000  6 O 2.31-2.32
Tl 0.0000 0.1663 0.5000  6 O 2.37
O 0.2282 0.3368 0.6951  1 Ho 2.31, 2 Tl 2.37
O 0.2389 0.0000 0.6960  1 Ho 2.32, 2 Tl 2.37

For the energy relative to the elements, uncorrected, the calculation gives -1600 meV/atom. Its total magnetization is 0.00 μB per formula unit.

[3]
K3HoTm2O6 after structural relaxation, computed with PBE.

Cell: 5.9503 10.3064 6.5545 Å, 90.00 107.61 90.00°
Last column: nearest neighbours and their distance in Å.
Space group C2/m (No. 12)
Symmetry-distinct sites (fractional):
K 0.0000 0.0000 0.0000  6 O 2.79-2.81
K 0.0000 0.3330 0.0000  6 O 2.79-2.81
Ho 0.0000 0.5000 0.5000  6 O 2.30-2.31
Tm 0.0000 0.1667 0.5000  6 O 2.28
O 0.2250 0.0000 0.6835  2 Tm 2.28, 1 Ho 2.31
O 0.2292 0.3319 0.6834  2 Tm 2.28, 1 Ho 2.30

For the energy relative to the elements, uncorrected, the calculation gives -2808 meV/atom. Its total magnetization is 0.00 μB per formula unit.

[4]
K3Ho2TmO6 after structural relaxation, computed with PBE.

Cell: 5.9745 10.3480 6.5623 Å, 90.00 107.67 90.00°
Last column: nearest neighbours and their distance in Å.
Space group C2/m (No. 12)
Symmetry-distinct sites (fractional):
K 0.0000 0.0000 0.0000  6 O 2.80-2.82
K 0.0000 0.3336 0.0000  6 O 2.80-2.82
Ho 0.0000 0.1667 0.5000  6 O 2.31
Tm 0.0000 0.5000 0.5000  6 O 2.29
O 0.2266 0.3347 0.6840  1 Tm 2.29, 2 Ho 2.31
O 0.2308 0.0000 0.6839  1 Tm 2.29, 2 Ho 2.31

For the energy relative to the elements, uncorrected, the calculation gives -2795 meV/atom. Its total magnetization is 0.00 μB per formula unit.

> Look up the energy relative to the elements, uncorrected of the first one.

-1892 meV/atom